# 1
{
  "formula": "CsRbTl2Hg",
  "functional": "PBE",
  "state": "relaxed",
  "lattice_angstrom": [[-4.168, 0.711, 4.368], [4.182, -1.333, 4.207], [1.599, 6.497, 0.469]],
  "species": ["Tl", "Tl", "Cs", "Rb", "Hg"],
  "frac_coords": [[0.000, 0.500, 0.000], [0.500, 0.000, 0.000], [0.500, 0.500, 0.500], [0.000, 0.000, 0.500], [0.000, 0.000, 0.000]],
  "crystal_system": "tetragonal",
  "delta_e_f_ev_per_atom": 0.049
}

***

# 2
{
  "formula": "CsRbTlHg",
  "functional": "PBE",
  "state": "relaxed",
  "lattice_angstrom": [[-3.468, 0.855, 5.327], [-5.945, -2.376, 0.372], [-1.231, -4.973, 3.858]],
  "species": ["Hg", "Tl", "Rb", "Cs"],
  "frac_coords": [[0.500, 0.500, 0.500], [0.000, 0.000, 0.000], [0.750, 0.750, 0.750], [0.250, 0.250, 0.250]],
  "crystal_system": "cubic",
  "delta_e_f_ev_per_atom": -0.022,
  "e_above_lowest_polymorph_ev_per_atom": 0.1202
}

***

# 3
{
  "formula": "Cs2RbTlHg",
  "functional": "PBE",
  "state": "relaxed",
  "lattice_angstrom": [[-2.080, 1.308, 7.145], [-1.536, -7.343, 0.898], [5.531, -0.939, 1.782]],
  "species": ["Hg", "Cs", "Cs", "Rb", "Tl"],
  "frac_coords": [[0.000, 0.000, 0.000], [0.000, 0.500, 0.000], [0.500, 0.000, 0.000], [0.500, 0.500, 0.500], [0.000, 0.000, 0.500]],
  "crystal_system": "tetragonal",
  "delta_e_f_ev_per_atom": -0.026,
  "e_above_lowest_polymorph_ev_per_atom": 0.0000
}

***

N(E_F) values (in states/eV/f.u.) by entry order: 5.304, 4.739, 3.930.
VASP energy values (in eV per cell) by entry order: -6.61, -4.58, -5.47.